Computed, not measured: an optimized crystal structure of Na3HfSe at the PBE level of DFT.

The structure in extended XYZ format:
```
5
Lattice="5.4944 0.0000 0.0000 0.0000 5.4944 0.0000 0.0000 0.0000 5.4944" Properties=species:S:1:pos:R:3 pbc="T T T"
Na 0.0000 2.7472 0.0000
Na 0.0000 0.0000 2.7472
Na 2.7472 0.0000 0.0000
Hf 2.7472 2.7472 2.7472
Se 0.0000 0.0000 0.0000
```

Summary:
Formation energy from raw total energies   10.3 kcal/mol of atoms
Energy relative to the lowest polymorph listed for this composition   0 meV/atom
VASP energy   -15.16 eV for the cell shown
Mass density   3.3 g/cm³
N(E_F)   7.8 states/eV/cell

Computed, not measured: an optimized crystal structure of Na2HfSe3 at the PBE level of DFT.

The structure in extended XYZ format:
```
12
Lattice="-0.6588 -6.0546 4.7220 3.4379 1.9964 6.1760 -2.5465 2.7555 6.3143" Properties=species:S:1:pos:R:3 pbc="T T T"
Na -0.0821 -1.9889 6.8645
Na 0.2247 1.0413 4.5040
Na 0.0079 -2.3440 12.7083
Na 0.3148 0.6862 10.3478
Hf 2.5042 -2.4887 9.7277
Hf -2.2715 1.1861 7.4847
Se 0.1845 0.8746 7.4279
Se 0.0482 -2.1772 9.7844
Se 0.7123 3.6430 11.0471
Se -0.1604 -1.9171 3.8045
Se 0.3930 0.6144 13.4079
Se -0.4796 -4.9457 6.1653
```

Summary:
Formation energy from raw total energies   -28.9 kcal/mol of atoms
VASP energy   -61.14 eV for the cell shown
Mass density   5.1 g/cm³

Computed, not measured: an optimized crystal structure of NaHfSe at the PBE level of DFT.

The structure in extended XYZ format:
```
6
Lattice="4.2851 0.0000 0.0000 2.1426 3.7110 0.0000 2.1426 1.2370 10.5537" Properties=species:S:1:pos:R:3 pbc="T T T"
Hf 2.1426 1.2370 0.9014
Hf 6.4277 3.7110 9.6522
Na 2.1426 1.2370 6.7109
Na 6.4277 3.7110 3.8428
Se 4.2851 2.4740 8.7070
Se 4.2851 2.4740 1.8467
```

Summary:
Formation energy from raw total energies   -11.0 kcal/mol of atoms
VASP energy   -32.38 eV for the cell shown
Mass density   5.5 g/cm³
N(E_F)   4.9 states/eV/cell

Look up the VASP energy of the second one.
-61.14 eV for the cell shown

Look up the VASP energy of the second one.
-61.14 eV for the cell shown

What is the formula in the second record?
Na2HfSe3